# PBE+U NiP2OsO, optimized geometry
data_NiP2OsO
_cell_length_a 4.717
_cell_length_b 4.717
_cell_length_c 3.626
_cell_angle_alpha 90.00
_cell_angle_beta 90.00
_cell_angle_gamma 90.00
_symmetry_space_group_name_H-M 'P 4/m m m'
_symmetry_Int_Tables_number 123
_symmetry_space_group_name_Hall '-P 4 2'
loop_
_atom_site_label
_atom_site_type_symbol
_atom_site_fract_x
_atom_site_fract_y
_atom_site_fract_z
_atom_site_occupancy
Ni1 Ni 0.000 0.000 0.000 1
P1 P 0.000 0.500 0.500 1
Os1 Os 0.500 0.500 0.500 1
O1 O 0.500 0.500 0.000 1
# energy above the most stable polymorph in this dataset = 0.0 meV/atom
# electronic total energy = -5.277 eV/atom
# M_tot = 0.0 Bohr magnetons per cell
# density of states at the Fermi level = 2.6 states/eV per cell